Entry from the Alexandria database: an optimized crystal structure of PtW2Se (GGA-PBE).

- crystal system = cubic
- formation energy (no corrections) (eV per atom) = 0.703
- uncorrected energy (eV/atom) = -8.155

Lattice parameters (Å, degrees): 6.4315 6.4315 6.4315 90.00 90.00 90.00
Space group F-43m (No. 216)
Symmetry-distinct sites (fractional):
Pt (0.0000, 0.0000, 0.0000)
W (0.0000, 0.0000, 0.5000)
W (0.2500, 0.2500, 0.7500)
Se (0.2500, 0.2500, 0.2500)